{"formula": "SmY2TmS4", "functional": "PBE", "state": "relaxed", "cell": [[-2.1788, -1.5762, -2.8048], [-0.2668, -5.8229, 3.4796], [-5.4429, 0.1315, 4.1542]], "species": ["Y", "Y", "Tm", "S", "S", "S", "S", "Sm"], "fractional_positions": [[0.0000, 0.0000, 0.0000], [0.5000, 0.0000, 0.5000], [0.0000, 0.5000, 0.5000], [0.0000, 0.7532, 0.7413], [0.0000, 0.2468, 0.2587], [0.5000, 0.2526, 0.7417], [0.5000, 0.7474, 0.2583], [0.5000, 0.5000, 0.0000]], "spacegroup": "No. 10", "e_tot_ev_per_cell": -54.5, "volume_a3_per_cell": 171}

***

{"formula": "La2CrCuC", "functional": "PBE", "state": "relaxed", "cell": [[-1.7525, -4.7796, -1.5464], [5.0228, -1.6391, -0.6259], [0.0624, -1.2104, 3.6705]], "species": ["C", "Cu", "La", "La", "Cr"], "fractional_positions": [[0.0000, 0.0000, 0.0000], [0.5000, 0.5000, 0.5000], [0.5000, 0.0000, 0.0000], [0.0000, 0.5000, 0.0000], [0.0000, 0.0000, 0.5000]], "delta_e_f_ev_per_atom": -0.017, "spacegroup": "No. 123", "volume_a3_per_cell": 109}

***

{"formula": "MgSc2Tc", "functional": "PBE", "state": "relaxed", "cell": [[-3.6252, 0.9073, -1.6285], [-1.8632, -1.6498, 3.2286], [-2.6005, 8.3629, 5.3461]], "species": ["Sc", "Sc", "Sc", "Sc", "Mg", "Mg", "Tc", "Tc"], "fractional_positions": [[0.8750, 0.8974, 0.7500], [0.1026, 0.6250, 0.2500], [0.3750, 0.3526, 0.7500], [0.6474, 0.1250, 0.2500], [0.5000, 0.5000, 0.0000], [0.2500, 0.7500, 0.5000], [0.0000, 0.0000, 0.0000], [0.7500, 0.2500, 0.5000]], "delta_e_f_ev_per_atom": 0.548, "spacegroup": "No. 122", "volume_a3_per_cell": 164}

***

{"formula": "Na3SbBr", "functional": "PBE", "state": "relaxed", "cell": [[5.9190, 0.0000, 0.0000], [0.0000, 5.9190, 0.0000], [0.0000, 0.0000, 5.9190]], "species": ["Na", "Na", "Na", "Br", "Sb"], "fractional_positions": [[0.0000, 0.0000, 0.5000], [0.0000, 0.5000, 0.0000], [0.5000, 0.0000, 0.0000], [0.5000, 0.5000, 0.5000], [0.0000, 0.0000, 0.0000]], "spacegroup": "No. 221", "de_polymorph_mev_per_atom": 146, "volume_a3_per_cell": 207}

***

{"formula": "PrDy12Sc6", "functional": "PBE", "state": "relaxed", "cell": [[1.0864, 7.1902, 5.3298], [-6.7592, 1.8775, -5.6632], [-2.7265, -6.8126, 5.2382]], "species": ["Sc", "Sc", "Sc", "Sc", "Sc", "Sc", "Dy", "Dy", "Dy", "Dy", "Dy", "Dy", "Dy", "Dy", "Dy", "Dy", "Dy", "Dy", "Pr"], "fractional_positions": [[0.6939, 0.6939, 0.2766], [0.3061, 0.7234, 0.3061], [0.2766, 0.6939, 0.6939], [0.6939, 0.2766, 0.6939], [0.7234, 0.3061, 0.3061], [0.3061, 0.3061, 0.7234], [0.8873, 0.5000, 0.1127], [0.5000, 0.1127, 0.8873], [0.3800, 0.1529, 0.3800], [0.5000, 0.8873, 0.1127], [0.8873, 0.1127, 0.5000], [0.6200, 0.6200, 0.8471], [0.6200, 0.8471, 0.6200], [0.1529, 0.3800, 0.3800], [0.3800, 0.3800, 0.1529], [0.1127, 0.8873, 0.5000], [0.8471, 0.6200, 0.6200], [0.1127, 0.5000, 0.8873], [0.0000, 0.0000, 0.0000]], "delta_e_f_ev_per_atom": 0.421, "spacegroup": "No. 166", "de_polymorph_mev_per_atom": 175, "volume_a3_per_cell": 607}

***

{"formula": "Pa2TiAs2N2", "functional": "PBE", "state": "relaxed", "cell": [[-0.0088, 2.0823, 3.2033], [-5.5680, 0.3090, 2.0623], [-1.1493, -3.9613, 4.8503]], "species": ["Ti", "Pa", "Pa", "As", "As", "N", "N"], "fractional_positions": [[0.0000, 0.0000, 0.0000], [0.8079, 0.6467, 0.7375], [0.1921, 0.3533, 0.2625], [0.5602, 0.1995, 0.6801], [0.4398, 0.8005, 0.3199], [0.7941, 0.3247, 0.0871], [0.2059, 0.6753, 0.9129]], "spacegroup": "No. 12", "e_tot_ev_per_cell": -62.7, "volume_a3_per_cell": 123}

***

{"formula": "MgBIrRu2", "functional": "PBE", "state": "relaxed", "cell": [[-1.2323, 3.7219, 1.2267], [-3.2157, -0.2254, -2.5465], [-2.2481, -1.7305, 2.9920]], "species": ["Ru", "Ru", "Mg", "B", "Ir"], "fractional_positions": [[0.0000, 0.5000, 0.0000], [0.5000, 0.0000, 0.0000], [0.5000, 0.5000, 0.5000], [0.0000, 0.0000, 0.0000], [0.0000, 0.0000, 0.5000]], "delta_e_f_ev_per_atom": -0.079, "spacegroup": "No. 123", "volume_a3_per_cell": 70}

***

{"formula": "OsPt4", "functional": "PBE", "state": "relaxed", "cell": [[-2.5571, -2.4427, -3.2017], [3.9793, -2.1151, -1.5644], [-0.6185, -3.5093, 3.1714]], "species": ["Pt", "Pt", "Pt", "Pt", "Os"], "fractional_positions": [[0.5000, 0.0000, 0.5000], [0.0000, 0.5000, 0.5000], [0.0000, 0.0000, 0.0000], [0.5000, 0.5000, 0.0000], [0.5000, 0.5000, 0.5000]], "delta_e_f_ev_per_atom": 1.599, "spacegroup": "No. 221", "de_polymorph_mev_per_atom": 1610, "volume_a3_per_cell": 109}

***

{"formula": "InPt2Au", "functional": "PBE", "state": "relaxed", "cell": [[-0.1845, 4.5498, 2.1337], [0.0248, -0.5021, 5.0035], [2.9843, -1.9029, -3.5722]], "species": ["In", "Au", "Pt", "Pt"], "fractional_positions": [[0.2500, 0.7500, 0.5000], [0.4999, 0.4999, 0.0000], [0.0001, 0.0001, 0.0000], [0.7500, 0.2500, 0.5000]], "delta_e_f_ev_per_atom": -0.228, "spacegroup": "No. 119", "volume_a3_per_cell": 69}

***

{"formula": "Sr2TcGe2", "functional": "PBE", "state": "relaxed", "cell": [[6.9983, 0.0000, 0.0000], [0.0000, 6.9983, 0.0000], [0.0000, 0.0000, 4.9312]], "species": ["Tc", "Tc", "Sr", "Sr", "Sr", "Sr", "Ge", "Ge", "Ge", "Ge"], "fractional_positions": [[0.5000, 0.5000, 0.0000], [0.0000, 0.0000, 0.0000], [0.1760, 0.6760, 0.5000], [0.3240, 0.1760, 0.5000], [0.6760, 0.8240, 0.5000], [0.8240, 0.3240, 0.5000], [0.6392, 0.1392, 0.0000], [0.8608, 0.6392, 0.0000], [0.3608, 0.8608, 0.0000], [0.1392, 0.3608, 0.0000]], "delta_e_f_ev_per_atom": -0.107, "spacegroup": "No. 127", "volume_a3_per_cell": 242}

***

{"formula": "Mg2SiC", "functional": "PBE", "state": "relaxed", "cell": [[-5.3709, 5.8255, 3.0653], [-5.0148, -1.0582, -6.7758], [-6.1387, 1.0323, -0.9442]], "species": ["Mg", "Mg", "Mg", "Mg", "C", "C", "Si", "Si"], "fractional_positions": [[0.4800, 0.1250, 0.2500], [0.8750, 0.7300, 0.7500], [0.2700, 0.6250, 0.2500], [0.3750, 0.5200, 0.7500], [0.2500, 0.7500, 0.5000], [0.5000, 0.5000, 0.0000], [0.7500, 0.2500, 0.5000], [0.0000, 0.0000, 0.0000]], "spacegroup": "No. 122", "de_polymorph_mev_per_atom": 0, "volume_a3_per_cell": 136}

***

{"formula": "YSnSe2", "functional": "PBE", "state": "relaxed", "cell": [[6.8823, 0.0000, 0.0000], [0.0000, 6.8823, 0.0000], [3.4411, 3.4411, 6.1077]], "species": ["Sn", "Sn", "Se", "Se", "Se", "Se", "Y", "Y"], "fractional_positions": [[0.7500, 0.2500, 0.5000], [0.0000, 0.0000, 0.0000], [0.5944, 0.1250, 0.2500], [0.1556, 0.6250, 0.2500], [0.8750, 0.8444, 0.7500], [0.3750, 0.4056, 0.7500], [0.5000, 0.5000, 0.0000], [0.2500, 0.7500, 0.5000]], "spacegroup": "No. 122", "e_tot_ev_per_cell": -41.2, "volume_a3_per_cell": 289}